A plane-wave DFT calculation with GGA+U was carried out for a relaxed Na5MoCl2O4 crystal.

a = 6.0140 Å, b = 5.7854 Å, c = 7.3352 Å
α = 90.00°, β = 90.00°, γ = 121.32°
Fractional positions:
Na: 0.4907 0.0000 0.5000
O: 0.4040 0.3213 0.0000
Na: 0.0523 0.3565 0.2153
Na: 0.0523 0.3565 0.7847
Na: 0.6958 0.6435 0.7847
Cl: 0.9724 0.6392 0.5000
Cl: 0.3332 0.3608 0.5000
Mo: 0.4074 0.0000 0.0000
O: 0.0827 0.6787 0.0000
Na: 0.6958 0.6435 0.2153
O: 0.6095 0.0000 0.8016
O: 0.6095 0.0000 0.1984

Output
- Symmetry: Amm2
- VASP energy: -57.3 eV/f.u.
- Crystal system: orthorhombic